Crystalline BeOs2Pb at its relaxed geometry, computed with PBE.

Summary:
Space-group type: R-3m
Energy of formation from the pure elements, eV per atom: 0.750
Polymorph energy (0 for the lowest one), meV/atom: 322
Crystal system: trigonal
Final energy, eV/atom: -6.724

Cell: 7.1573 7.1573 7.1573 Å, 26.23 26.23 26.23°
Element x y z (fractional)
Be 0.0000 0.0000 0.0000
Os 0.2768 0.2768 0.2768
Os 0.7232 0.7232 0.7232
Pb 0.5000 0.5000 0.5000


Crystalline BeOs2Pb at its relaxed geometry, computed with PBE.

Summary:
Space-group type: C2/m
Energy of formation from the pure elements, eV per atom: 0.601
Polymorph energy (0 for the lowest one), meV/atom: 173
Crystal system: monoclinic
Final energy, eV/atom: -6.873

Cell: 4.5924 4.5924 5.0252 Å, 104.44 104.44 37.68°
Element x y z (fractional)
Be 0.0000 0.0000 0.0000
Os 0.2832 0.2832 0.8070
Os 0.7168 0.7168 0.1930
Pb 0.5000 0.5000 0.5000


Crystalline BeOsPb2 at its relaxed geometry, computed with PBE.

Summary:
Space-group type: Imm2
Energy of formation from the pure elements, eV per atom: 0.596
Crystal system: orthorhombic
Final energy, eV/atom: -4.997

Cell: 6.9515 6.9515 6.9515 Å, 152.49 145.19 44.92°
Element x y z (fractional)
Be 0.0000 0.0000 0.0000
Os 0.8861 0.3861 0.5000
Pb 0.2994 0.7994 0.5000
Pb 0.5624 0.5624 0.0000


Crystalline BeOsPb2 at its relaxed geometry, computed with PBE.

Summary:
Space-group type: R3m
Energy of formation from the pure elements, eV per atom: 0.572
Crystal system: trigonal
Final energy, eV/atom: -5.021

Cell: 8.8909 8.8909 8.8909 Å, 21.81 21.81 21.81°
Element x y z (fractional)
Be 0.0000 0.0000 0.0000
Os 0.7107 0.7107 0.7107
Pb 0.2608 0.2608 0.2608
Pb 0.4614 0.4614 0.4614


Crystalline BeOs2Pb at its relaxed geometry, computed with PBE.

Summary:
Space-group type: Fm-3m
Energy of formation from the pure elements, eV per atom: 0.872
Polymorph energy (0 for the lowest one), meV/atom: 444
Crystal system: cubic
Final energy, eV/atom: -6.601

Cell: 4.4241 4.4241 4.4241 Å, 60.00 60.00 60.00°
Element x y z (fractional)
Be 0.0000 0.0000 0.0000
Os 0.2500 0.2500 0.2500
Os 0.7500 0.7500 0.7500
Pb 0.5000 0.5000 0.5000


Crystalline BeOsPb2 at its relaxed geometry, computed with PBE.

Summary:
Space-group type: I4/mmm
Energy of formation from the pure elements, eV per atom: 1.022
Crystal system: tetragonal
Final energy, eV/atom: -4.572

Cell: 4.9768 4.9768 4.9768 Å, 125.93 125.93 80.00°
Element x y z (fractional)
Be 0.0000 0.0000 0.0000
Os 0.5000 0.5000 0.0000
Pb 0.2500 0.7500 0.5000
Pb 0.7500 0.2500 0.5000